Material: K2VHgO4
Method: DFT, PBE+U
State: relaxed

Properties
energy	-5.225	eV per atom
DOS(E_F)	3.9	states/eV/cell
symmetry	No. 82

a b c (Å): 5.865 5.865 5.865
angles (deg): 112.54 112.54 103.49
Positions (direct):
K1 0.000 0.000 0.000
K2 0.750 0.250 0.500
V1 0.250 0.750 0.500
Hg1 0.500 0.500 0.000
O1 0.240 0.052 0.514
O2 0.274 0.760 0.812
O3 0.538 0.726 0.486
O4 0.948 0.462 0.188